[1]
A PBEsol-optimized structure of Mn2AgOs, computed with SCAN.

Lattice parameters (Å, degrees): 2.6939 2.6939 7.5013 90.00 90.00 90.00
Last column: nearest neighbours and their distance in Å.
Space group P4/mmm (No. 123)
Inequivalent atoms, fractional coordinates:
Mn 0.0000 0.0000 0.2292  4 Os 2.57, 4 Mn 2.69, 4 Ag 2.78
Ag 0.5000 0.5000 0.5000  4 Ag 2.69, 8 Mn 2.78
Os 0.5000 0.5000 0.0000  8 Mn 2.57, 4 Os 2.69

As for the formation energy from the elements: 0.033 eV per atom. Its total energy is -139.6 eV for the cell shown.

***

[2]
A PBEsol-optimized structure of Mn2CdC, computed with SCAN.

Lattice parameters (Å, degrees): 5.9527 5.9527 5.9527 90.00 90.00 90.00
Last column: nearest neighbours and their distance in Å.
Space group Fm-3m (No. 225)
Inequivalent atoms, fractional coordinates:
Mn 0.2500 0.2500 0.2500  4 Cd 2.58, 4 C 2.58
Cd 0.0000 0.0000 0.0000  8 Mn 2.58
C 0.0000 0.0000 0.5000  8 Mn 2.58

As for the formation energy from the elements: 1.099 eV per atom. Its total energy is -290.5 eV for the cell shown.

***

[3]
A PBEsol-optimized structure of ZnCd2Ag, computed with SCAN.

Lattice parameters (Å, degrees): 3.0865 4.0123 5.7530 90.00 90.00 90.00
Last column: nearest neighbours and their distance in Å.
Space group Pmmm (No. 47)
Inequivalent atoms, fractional coordinates:
Zn 0.0000 0.0000 0.0000  2 Ag 2.88, 8 Cd 2.91, 2 Zn 3.09
Cd 0.5000 0.5000 0.2481  4 Cd 2.85-3.09, 4 Zn 2.91, 4 Ag 2.92
Ag 0.0000 0.0000 0.5000  2 Zn 2.88, 8 Cd 2.92, 2 Ag 3.09

As for the formation energy from the elements: 0.028 eV per atom. Its total energy is -105.6 eV for the cell shown.